1.
The following is a PBE-GGA calculation of a relaxed structure of Nb3AgI, from Alexandria.

Output
excess energy over the best structure of this formula in the dataset = 0.0000 eV/atom
SG = Pm-3m, No. 221
raw formation energy = 1.75 eV/atom

Structure (POSCAR):
```
Nb3AgI
1.0
-3.512 -3.045 1.922
-0.542 -2.207 -4.488
3.560 -3.340 1.212
I Nb Ag
1 3 1
direct
0.000 0.000 0.000
0.000 0.500 0.000
0.000 0.000 0.500
0.500 0.000 0.000
0.500 0.500 0.500
```

---

2.
The following is a PBE-GGA calculation of a relaxed structure of Ge3BrF, from Alexandria.

Output
excess energy over the best structure of this formula in the dataset = 0.5023 eV/atom
SG = Pm-3m, No. 221
raw formation energy = 0.73 eV/atom

Structure (POSCAR):
```
Ge3BrF
1.0
5.238 0.000 0.000
0.000 5.238 0.000
0.000 0.000 5.238
Ge F Br
3 1 1
direct
0.000 0.500 0.000
0.500 0.000 0.000
0.000 0.000 0.500
0.500 0.500 0.500
0.000 0.000 0.000
```

---

3.
The following is a PBE-GGA calculation of a relaxed structure of Ta5NbH8, from Alexandria.

Output
SG = I-4, No. 82

Structure (POSCAR):
```
Ta5NbH8
1.0
5.523 0.003 -0.006
-1.866 5.199 0.006
-1.792 -2.627 4.516
H Nb Ta
8 1 5
direct
0.728 0.251 0.375
0.225 0.249 0.370
0.625 0.353 0.876
0.523 0.647 0.272
0.630 0.856 0.879
0.023 0.144 0.775
0.124 0.749 0.477
0.121 0.751 0.977
0.250 0.500 0.750
0.749 0.626 0.624
0.376 0.125 0.002
0.877 0.875 0.251
0.998 0.374 0.123
0.500 0.000 0.500
```

---

4.
The following is a PBE-GGA calculation of a relaxed structure of ThPd5Au, from Alexandria.

Output
SG = P4/mmm, No. 123
ΔE_f = -424 meV/atom

Structure (POSCAR):
```
ThPd5Au
1.0
-3.766 1.205 -1.531
-1.670 -0.280 3.888
1.780 7.194 1.283
Th Pd Au
1 5 1
direct
0.000 0.000 0.000
0.000 0.500 0.734
0.500 0.000 0.734
0.500 0.000 0.266
0.500 0.500 0.000
0.000 0.500 0.266
0.000 0.000 0.500
```

---

5.
The following is a PBE-GGA calculation of a relaxed structure of TbHf2Zr, from Alexandria.

Output
excess energy over the best structure of this formula in the dataset = 0.0000 eV/atom
SG = R3m, No. 160
ΔE_f = 121 meV/atom

Structure (POSCAR):
```
TbHf2Zr
1.0
3.268 0.000 0.000
1.634 2.830 0.000
1.634 0.943 10.586
Hf Tb Zr
2 1 1
direct
0.079 0.079 0.763
0.254 0.254 0.237
0.500 0.500 0.500
0.667 0.667 0.000
```

---

6.
The following is a PBE-GGA calculation of a relaxed structure of B5C7, from Alexandria.

Output
excess energy over the best structure of this formula in the dataset = 0.0902 eV/atom
SG = Cm, No. 8
ΔE_f = 348 meV/atom

Structure (POSCAR):
```
B5C7
1.0
4.105 0.087 -5.548
-0.548 2.551 -6.901
0.387 -0.138 7.366
C B
7 5
direct
0.017 0.661 0.356
0.116 0.128 0.988
0.148 0.460 0.689
0.511 0.837 0.674
0.502 0.493 0.009
0.612 0.955 0.656
0.602 0.298 0.304
0.644 0.618 0.026
0.124 0.782 0.341
0.493 0.176 0.317
0.975 0.339 0.636
0.007 0.003 0.003
```

---

7.
The following is a PBE-GGA calculation of a relaxed structure of BaZnMo2Rh, from Alexandria.

Output
SG = P4/mmm, No. 123
ΔE_f = 2913 meV/atom

Structure (POSCAR):
```
BaZnMo2Rh
1.0
-2.823 -0.963 4.013
4.222 0.486 3.087
-0.937 4.884 0.513
Zn Ba Mo Rh
1 1 2 1
direct
0.000 0.500 0.000
0.000 0.000 0.000
0.500 0.000 0.000
0.000 0.000 0.500
0.500 0.500 0.500
```

---

8.
The following is a PBE-GGA calculation of a relaxed structure of Tc5Ir3, from Alexandria.

Output
excess energy over the best structure of this formula in the dataset = 0.0000 eV/atom
SG = C2/c, No. 15
ΔE_f = -210 meV/atom

Structure (POSCAR):
```
Tc5Ir3
1.0
5.165 0.136 -0.135
2.765 6.762 0.012
-2.767 0.009 6.762
Tc Ir
10 6
direct
0.250 0.542 0.543
0.752 0.334 0.083
0.255 0.790 0.294
0.755 0.706 0.210
0.750 0.458 0.458
0.746 0.210 0.706
0.749 0.082 0.334
0.252 0.918 0.666
0.249 0.666 0.918
0.246 0.294 0.791
0.750 0.583 0.834
0.751 0.833 0.584
0.250 0.167 0.417
0.750 0.959 0.959
0.250 0.041 0.042
0.251 0.417 0.167
```

---

9.
The following is a PBE-GGA calculation of a relaxed structure of LuNiHg2, from Alexandria.

Output
SG = R-3m, No. 166
ΔE_f = 331 meV/atom

Structure (POSCAR):
```
LuNiHg2
1.0
-0.081 1.717 2.786
-0.892 -1.455 2.794
9.085 -2.314 3.613
Lu Ni Hg
1 1 2
direct
0.000 0.000 0.000
0.500 0.500 0.500
0.898 0.898 0.306
0.102 0.102 0.694
```

---

10.
The following is a PBE-GGA calculation of a relaxed structure of TbHoScPa, from Alexandria.

Output
SG = F-43m, No. 216
ΔE_f = 294 meV/atom

Structure (POSCAR):
```
TbHoScPa
1.0
-1.441 -0.583 -5.193
3.692 -1.461 -3.690
-0.195 -4.941 -2.220
Pa Ho Sc Tb
1 1 1 1
direct
0.750 0.750 0.750
0.500 0.500 0.500
0.000 0.000 0.000
0.250 0.250 0.250
```

---

11.
The following is a PBE-GGA calculation of a relaxed structure of Ce4AlTc, from Alexandria.

Output
excess energy over the best structure of this formula in the dataset = 0.0174 eV/atom
SG = C2/c, No. 15
ΔE_f = -141 meV/atom

Structure (POSCAR):
```
Ce4AlTc
1.0
-3.036 0.603 -5.066
7.356 -3.960 -1.241
-4.954 -3.832 4.172
Ce Tc Al
8 2 2
direct
0.235 0.314 0.380
0.704 0.378 0.191
0.987 0.813 0.191
0.765 0.686 0.620
0.644 0.065 0.380
0.296 0.622 0.809
0.013 0.187 0.809
0.356 0.935 0.620
0.747 0.997 0.993
0.253 0.003 0.007
0.363 0.613 0.225
0.637 0.387 0.775
```

---

12.
The following is a PBE-GGA calculation of a relaxed structure of PrCdP2, from Alexandria.

Output
SG = R-3m, No. 166
ΔE_f = -305 meV/atom

Structure (POSCAR):
```
PrCdP2
1.0
-4.131 1.367 0.244
-3.239 -2.898 0.319
-1.910 -0.259 8.024
P Pr Cd
2 1 1
direct
0.102 0.102 0.694
0.898 0.898 0.306
0.500 0.500 0.500
0.000 0.000 0.000
```

---

13.
The following is a PBE-GGA calculation of a relaxed structure of AgIrAu, from Alexandria.

Output
excess energy over the best structure of this formula in the dataset = 0.0866 eV/atom
SG = Fmm2, No. 42
ΔE_f = 364 meV/atom

Structure (POSCAR):
```
AgIrAu
1.0
6.796 -0.002 0.004
5.662 3.759 0.004
-6.228 -1.878 1.954
Au Ir Ag
1 1 1
direct
0.330 0.330 0.000
0.667 0.667 0.000
0.003 0.003 0.000
```

---

14.
The following is a PBE-GGA calculation of a relaxed structure of Na2BiTe4As, from Alexandria.

Output
SG = P2/m, No. 10
raw formation energy = -0.43 eV/atom

Structure (POSCAR):
```
Na2BiTe4As
1.0
-1.269 -4.025 -1.125
-1.619 -1.522 7.273
-6.568 3.037 -3.460
Na Te As Bi
2 4 1 1
direct
0.000 0.500 0.500
0.500 0.000 0.500
0.000 0.279 0.782
0.500 0.737 0.770
0.500 0.263 0.230
0.000 0.721 0.218
0.500 0.500 0.000
0.000 0.000 0.000
```

---

15.
The following is a PBE-GGA calculation of a relaxed structure of RbNCl, from Alexandria.

Output
excess energy over the best structure of this formula in the dataset = 0.0000 eV/atom
SG = P2_1/c, No. 14
raw formation energy = -1.26 eV/atom

Structure (POSCAR):
```
RbNCl
1.0
-1.039 2.910 -3.480
6.667 -3.823 -5.186
-7.792 -6.571 -3.168
Cl Rb N
4 4 4
direct
0.250 0.645 0.659
0.750 0.855 0.341
0.750 0.355 0.341
0.250 0.145 0.659
0.751 0.894 0.654
0.749 0.394 0.654
0.249 0.106 0.346
0.251 0.606 0.346
0.438 0.019 0.043
0.938 0.481 0.957
0.062 0.519 0.043
0.562 0.981 0.957
```

---

16.
The following is a PBE-GGA calculation of a relaxed structure of MnZnMo4, from Alexandria.

Output
SG = F-43m, No. 216
ΔE_f = 472 meV/atom

Structure (POSCAR):
```
MnZnMo4
1.0
0.000 3.671 3.671
3.671 0.000 3.671
3.671 3.671 0.000
Mo Zn Mn
4 1 1
direct
0.376 0.376 0.873
0.376 0.376 0.376
0.376 0.873 0.376
0.873 0.376 0.376
0.750 0.750 0.750
0.000 0.000 0.000
```

---

17.
The following is a PBE-GGA calculation of a relaxed structure of RbNaHg4, from Alexandria.

Output
excess energy over the best structure of this formula in the dataset = 0.0686 eV/atom
SG = F-43m, No. 216
ΔE_f = -185 meV/atom

Structure (POSCAR):
```
RbNaHg4
1.0
-6.207 -1.239 -0.763
-2.883 -4.271 3.754
-4.200 1.935 4.389
Hg Rb Na
4 1 1
direct
0.624 0.624 0.624
0.127 0.624 0.624
0.624 0.127 0.624
0.624 0.624 0.127
0.000 0.000 0.000
0.250 0.250 0.250
```

---

18.
The following is a PBE-GGA calculation of a relaxed structure of KReTe2, from Alexandria.

Output
excess energy over the best structure of this formula in the dataset = 0.7492 eV/atom
SG = P4/mmm, No. 123
raw formation energy = 0.71 eV/atom

Structure (POSCAR):
```
KReTe2
1.0
-1.271 -5.394 -0.018
3.569 -0.828 -4.158
2.389 -0.570 2.164
Te K Re
2 1 1
direct
0.500 0.500 0.000
0.000 0.000 0.000
0.500 0.000 0.500
0.000 0.500 0.500
```

---

19.
The following is a PBE-GGA calculation of a relaxed structure of LaNiAs2, from Alexandria.

Output
SG = Fm-3m, No. 225
ΔE_f = -335 meV/atom

Structure (POSCAR):
```
LaNiAs2
1.0
-1.258 2.982 3.635
-4.693 0.602 1.141
-1.748 -1.832 4.156
Ni As La
1 2 1
direct
0.000 0.000 0.000
0.250 0.250 0.250
0.750 0.750 0.750
0.500 0.500 0.500
```

---

20.
The following is a PBE-GGA calculation of a relaxed structure of NiHgIN2, from Alexandria.

Output
SG = P4/mmm, No. 123
raw formation energy = 2.03 eV/atom

Structure (POSCAR):
```
NiHgIN2
1.0
-2.093 1.747 3.137
-0.194 -3.681 1.921
6.422 1.470 3.466
Hg I Ni N
1 1 1 2
direct
0.000 0.000 0.000
0.000 0.000 0.500
0.500 0.500 0.500
0.500 0.000 0.000
0.000 0.500 0.000
```

---

21.
The following is a PBE-GGA calculation of a relaxed structure of Li2NdTmTl4, from Alexandria.

Output
SG = R-3m, No. 166
ΔE_f = -315 meV/atom

Structure (POSCAR):
```
Li2NdTmTl4
1.0
5.216 0.000 0.000
2.608 4.517 0.000
2.608 1.506 8.541
Li Nd Tl Tm
2 1 4 1
direct
0.249 0.249 0.253
0.751 0.751 0.747
0.000 0.000 0.000
0.127 0.127 0.618
0.378 0.378 0.866
0.622 0.622 0.134
0.873 0.873 0.382
0.500 0.500 0.500
```

---

22.
The following is a PBE-GGA calculation of a relaxed structure of YSiCl2, from Alexandria.

Output
excess energy over the best structure of this formula in the dataset = 0.6440 eV/atom
SG = F-43m, No. 216
raw formation energy = -0.40 eV/atom

Structure (POSCAR):
```
YSiCl2
1.0
-0.651 -0.279 -5.005
3.661 -1.898 -2.923
-0.616 -4.499 -2.221
Cl Y Si
2 1 1
direct
0.750 0.750 0.750
0.000 0.000 0.000
0.250 0.250 0.250
0.500 0.500 0.500
```

---

23.
The following is a PBE-GGA calculation of a relaxed structure of Pr2Sm5Ho12, from Alexandria.

Output
excess energy over the best structure of this formula in the dataset = 0.0488 eV/atom
SG = C2/m, No. 12
ΔE_f = 131 meV/atom

Structure (POSCAR):
```
Pr2Sm5Ho12
1.0
9.296 0.000 0.000
-4.648 11.341 -1.679
0.000 -5.373 6.749
Pr Ho Sm
2 12 5
direct
0.679 0.000 0.000
0.321 0.000 0.000
0.973 0.303 0.060
0.439 0.257 0.598
0.917 0.835 0.713
0.670 0.697 0.940
0.561 0.743 0.402
0.442 0.885 0.219
0.182 0.743 0.402
0.083 0.165 0.287
0.818 0.257 0.598
0.027 0.697 0.940
0.330 0.303 0.060
0.558 0.115 0.781
0.230 0.460 0.887
0.703 0.407 0.391
0.000 0.000 0.500
0.297 0.593 0.609
0.770 0.540 0.113
```

---

24.
The following is a PBE-GGA calculation of a relaxed structure of Ce2ScTl9, from Alexandria.

Output
SG = P4/mmm, No. 123
ΔE_f = -193 meV/atom

Structure (POSCAR):
```
Ce2ScTl9
1.0
-2.226 0.370 -4.227
4.213 -0.377 -2.252
-1.507 -14.185 -0.446
Tl Ce Sc
9 2 1
direct
0.500 0.500 0.000
0.500 0.000 0.500
0.500 0.000 0.159
0.500 0.000 0.841
0.500 0.500 0.668
0.000 0.500 0.500
0.500 0.500 0.332
0.000 0.500 0.159
0.000 0.500 0.841
0.000 0.000 0.328
0.000 0.000 0.672
0.000 0.000 0.000
```

---

25.
The following is a PBE-GGA calculation of a relaxed structure of Al2TlCr, from Alexandria.

Output
excess energy over the best structure of this formula in the dataset = 0.2969 eV/atom
SG = F-43m, No. 216
ΔE_f = 462 meV/atom

Structure (POSCAR):
```
Al2TlCr
1.0
-4.324 0.121 2.042
-1.187 -3.269 3.285
-0.443 1.273 4.590
Cr Al Tl
1 2 1
direct
0.500 0.500 0.500
0.000 0.000 0.000
0.750 0.750 0.750
0.250 0.250 0.250
```

---

Number 1: VASP energy -5.18 eV/atom. Number 2: VASP energy -2.75 eV/atom. Number 3: VASP energy -6.76 eV/atom. Number 4: VASP energy -5.66 eV/atom. Number 5: VASP energy -8.15 eV/atom. Number 6: VASP energy -7.81 eV/atom. Number 7: VASP energy -3.53 eV/atom. Number 8: VASP energy -10.01 eV/atom. Number 9: VASP energy -2.40 eV/atom. Number 10: VASP energy -5.96 eV/atom. Number 11: VASP energy -6.45 eV/atom. Number 12: VASP energy -4.43 eV/atom. Number 13: VASP energy -4.63 eV/atom. Number 14: VASP energy -3.40 eV/atom. Number 15: VASP energy -4.97 eV/atom. Number 16: VASP energy -8.49 eV/atom. Number 17: VASP energy -0.77 eV/atom. Number 18: VASP energy -4.25 eV/atom. Number 19: VASP energy -5.34 eV/atom. Number 20: VASP energy -2.83 eV/atom. Number 21: VASP energy -3.13 eV/atom. Number 22: VASP energy -4.30 eV/atom. Number 23: VASP energy -4.50 eV/atom. Number 24: VASP energy -3.48 eV/atom. Number 25: VASP energy -4.41 eV/atom.